DFT (GGA-PBE) results for a relaxed TmZrAsO crystal.

Lattice parameters (Å, degrees): 4.1293 4.1293 8.6643 90.00 90.00 90.00
With the nearest neighbours (Å) after each atom.
Fractional coordinates of all 8 atoms:
1 Tm 0.2500 0.2500 0.1096  4 O 2.27
2 Tm 0.7500 0.7500 0.8904  4 O 2.27
3 Zr 0.2500 0.7500 0.5000  4 As 2.72, 4 Zr 2.92
4 Zr 0.7500 0.2500 0.5000  4 As 2.72, 4 Zr 2.92
5 As 0.2500 0.2500 0.7035  4 Zr 2.72
6 As 0.7500 0.7500 0.2965  4 Zr 2.72
7 O 0.2500 0.7500 0.0000  4 Tm 2.27
8 O 0.7500 0.2500 0.0000  4 Tm 2.27

Summary:
The value obtained for the total DFT energy (no corrections) is -60.83 eV/cell. The energy above the lowest structure with this stoichiometry is 0 meV/atom.

DFT (GGA-PBE) results for a relaxed LuCdCoB crystal.

Lattice parameters (Å, degrees): 4.4170 4.4170 4.4170 60.00 60.00 60.00
With the nearest neighbours (Å) after each atom.
Fractional coordinates of all 4 atoms:
1 Lu 0.0000 0.0000 0.0000  4 Cd 2.70, 4 B 2.70
2 Cd 0.7500 0.7500 0.7500  4 Co 2.70, 4 Lu 2.70
3 Co 0.5000 0.5000 0.5000  4 Cd 2.70, 4 B 2.70
4 B 0.2500 0.2500 0.2500  4 Co 2.70, 4 Lu 2.70

Summary:
The value obtained for the total DFT energy (no corrections) is -17.38 eV/cell. The energy above the lowest structure with this stoichiometry is 0 meV/atom.

DFT (GGA-PBE) results for a relaxed PaPOsO crystal.

Lattice parameters (Å, degrees): 4.1831 4.1831 4.3340 90.00 90.00 90.00
With the nearest neighbours (Å) after each atom.
Fractional coordinates of all 4 atoms:
1 Pa 0.0000 0.0000 0.0000  2 O 2.17
2 P 0.5000 0.5000 0.5000  2 Os 2.17
3 Os 0.5000 0.5000 0.0000  2 P 2.17
4 O 0.0000 0.0000 0.5000  2 Pa 2.17

Summary:
The value obtained for the total DFT energy (no corrections) is -33.84 eV/cell. The energy above the lowest structure with this stoichiometry is 593 meV/atom.

DFT (GGA-PBE) results for a relaxed TbYB4 crystal.

Lattice parameters (Å, degrees): 5.0912 5.0912 5.0912 142.17 111.71 80.81
With the nearest neighbours (Å) after each atom.
Fractional coordinates of all 6 atoms:
1 Tb 0.0000 0.0000 0.0000  12 B 2.72
2 Y 0.5000 0.5000 0.0000  12 B 2.72
3 B 0.0832 0.7499 0.3334  3 B 1.90-1.91
4 B 0.4165 0.7499 0.6666  3 B 1.90-1.91
5 B 0.5835 0.2501 0.3334  3 B 1.90-1.91
6 B 0.9168 0.2501 0.6666  3 B 1.90-1.91

Summary:
The value obtained for the total DFT energy (no corrections) is -41.08 eV/cell.

DFT (GGA-PBE) results for a relaxed TbYGeF2 crystal.

Lattice parameters (Å, degrees): 4.0228 4.0228 6.6251 90.00 90.00 120.00
With the nearest neighbours (Å) after each atom.
Fractional coordinates of all 5 atoms:
1 Tb 0.0000 0.0000 0.0000  4 F 2.35-2.53
2 Y 0.6667 0.3333 0.4905  4 F 2.36-2.54
3 Ge 0.3333 0.6667 0.2461  3 Y 2.83, 3 Tb 2.84
4 F 0.0000 0.0000 0.6456  1 Tb 2.35, 3 Y 2.54
5 F 0.6667 0.3333 0.8468  1 Y 2.36, 3 Tb 2.53

Summary:
The value obtained for the total DFT energy (no corrections) is -31.85 eV/cell.

DFT (GGA-PBE) results for a relaxed Y4AlAuN2 crystal.

Lattice parameters (Å, degrees): 3.5131 3.5131 14.9988 90.00 90.00 120.00
With the nearest neighbours (Å) after each atom.
Fractional coordinates of all 8 atoms:
1 Y 0.0000 0.0000 0.1510  3 N 2.49
2 Y 0.0000 0.0000 0.8490  3 N 2.49
3 Y 0.3333 0.6667 0.3335  3 N 2.41
4 Y 0.3333 0.6667 0.6665  3 N 2.41
5 Al 0.0000 0.0000 0.5000  6 Y 3.22, 6 Al 3.51
6 Au 0.3333 0.6667 0.0000  6 Y 3.04
7 N 0.6667 0.3333 0.2470  6 Y 2.41-2.49
8 N 0.6667 0.3333 0.7530  6 Y 2.41-2.49

Summary:
The value obtained for the total DFT energy (no corrections) is -57.61 eV/cell.

DFT (GGA-PBE) results for a relaxed Pr3Y2ErCoTe2 crystal.

Lattice parameters (Å, degrees): 4.0406 8.4754 8.4754 119.79 90.00 90.00
With the nearest neighbours (Å) after each atom.
Fractional coordinates of all 9 atoms:
1 Pr 0.0000 0.0000 0.0000  4 Te 3.27, 1 Co 3.51, 4 Y 3.61
2 Pr 0.0000 0.4071 0.8083  4 Te 3.28-3.29, 1 Co 3.38, 2 Er 3.58, 2 Y 3.60
3 Pr 0.0000 0.8083 0.4071  4 Te 3.28-3.29, 1 Co 3.38, 2 Er 3.58, 2 Y 3.60
4 Y 0.5000 0.1720 0.4053  2 Co 2.85
5 Y 0.5000 0.4053 0.1720  2 Co 2.85
6 Er 0.5000 0.6353 0.6353  2 Co 2.77
7 Co 0.0000 0.4127 0.4127  2 Er 2.77, 4 Y 2.85
8 Te 0.5000 0.0726 0.7394  6 Pr 3.27-3.29, 2 Y 3.33, 1 Er 3.36
9 Te 0.5000 0.7394 0.0726  6 Pr 3.27-3.29, 2 Y 3.33, 1 Er 3.36

Summary:
The value obtained for the total DFT energy (no corrections) is -51.59 eV/cell.

DFT (GGA-PBE) results for a relaxed Na4AlInAu2 crystal.

Lattice parameters (Å, degrees): 4.8537 4.8537 6.9956 90.00 90.00 90.00
With the nearest neighbours (Å) after each atom.
Fractional coordinates of all 8 atoms:
1 Na 0.0000 0.0000 0.0000  4 Na 3.03, 4 Au 3.08
2 Na 0.0000 0.5000 0.7414  4 Na 2.96-3.03, 2 Al 2.96, 2 In 3.03, 1 Au 3.28
3 Na 0.5000 0.0000 0.2586  4 Na 2.96-3.03, 2 Al 2.96, 2 In 3.03, 1 Au 3.28
4 Na 0.5000 0.5000 0.5000  4 Au 2.90, 4 Na 2.96
5 Al 0.0000 0.0000 0.5000  4 Au 2.90, 4 Na 2.96
6 In 0.5000 0.5000 0.0000  4 Na 3.03, 4 Au 3.08
7 Au 0.0000 0.5000 0.2720  4 Na 2.90-3.08, 2 Al 2.90, 2 In 3.08
8 Au 0.5000 0.0000 0.7280  4 Na 2.90-3.08, 2 Al 2.90, 2 In 3.08

Summary:
The value obtained for the total DFT energy (no corrections) is -19.72 eV/cell.

Q: What is the total DFT energy (no corrections) in the fifth record?
A: -31.85 eV/cell

Q: Which formula does entry 6 have?
A: Y4AlAuN2